Material: Th2Fe17
Method: DFT, PBE
State: relaxed

Volume in Å³ per cell: 262
Energy of formation from the pure elements in eV per atom: -0.02
Final energy in eV per atom: -8.374
Space group: R-3m (166)
Total moment in Bohr magnetons per cell: 38.32
Crystal system: trigonal

abc: 6.4571 6.4571 6.4571
angles: 82.20 82.20 82.20
With the nearest neighbours (Å) after each atom.
Atoms (fractional coordinates):
Th (0.1588, 0.1588, 0.1588)  19 Fe 3.03-3.29
Th (0.8412, 0.8412, 0.8412)  19 Fe 3.03-3.29
Fe (0.0000, 0.5000, 0.5000)  10 Fe 2.45-2.61
Fe (0.1586, 0.1586, 0.6563)  9 Fe 2.45-2.67
Fe (0.1586, 0.6563, 0.1586)  9 Fe 2.45-2.67
Fe (0.2088, 0.5000, 0.7912)  10 Fe 2.46-2.75
Fe (0.2088, 0.7912, 0.5000)  10 Fe 2.46-2.75
Fe (0.3437, 0.8414, 0.8414)  9 Fe 2.45-2.67
Fe (0.4046, 0.4046, 0.4046)  7 Fe 2.40-2.64
Fe (0.5000, 0.0000, 0.5000)  10 Fe 2.45-2.61
Fe (0.5000, 0.2088, 0.7912)  10 Fe 2.46-2.75
Fe (0.5000, 0.5000, 0.0000)  10 Fe 2.45-2.61
Fe (0.5000, 0.7912, 0.2088)  10 Fe 2.46-2.75
Fe (0.5954, 0.5954, 0.5954)  7 Fe 2.40-2.64
Fe (0.6563, 0.1586, 0.1586)  9 Fe 2.45-2.67
Fe (0.7912, 0.2088, 0.5000)  10 Fe 2.46-2.75
Fe (0.7912, 0.5000, 0.2088)  10 Fe 2.46-2.75
Fe (0.8414, 0.3437, 0.8414)  9 Fe 2.45-2.67
Fe (0.8414, 0.8414, 0.3437)  9 Fe 2.45-2.67

Material: ThFe11
Method: DFT, PBE
State: relaxed

Volume in Å³ per cell: 326
Energy of formation from the pure elements in eV per atom: 0.01
Final energy in eV per atom: -8.363
Space group: I4_1/amd (141)
Total moment in Bohr magnetons per cell: 51.29
Crystal system: tetragonal

abc: 7.8073 7.8073 7.8073
angles: 99.81 99.81 131.23
With the nearest neighbours (Å) after each atom.
Atoms (fractional coordinates):
Th (0.3750, 0.6250, 0.7500)  22 Fe 3.13-3.49
Th (0.6250, 0.3750, 0.2500)  22 Fe 3.13-3.49
Fe (0.0000, 0.0000, 0.0000)  10 Fe 2.43-2.64
Fe (0.0000, 0.0000, 0.5000)  10 Fe 2.43-2.64
Fe (0.0000, 0.5000, 0.0000)  10 Fe 2.43-2.64
Fe (0.1250, 0.8750, 0.2500)  12 Fe 2.64-2.69
Fe (0.1394, 0.5609, 0.3290)  10 Fe 2.43-2.69
Fe (0.1394, 0.8104, 0.5785)  10 Fe 2.43-2.69
Fe (0.1896, 0.2681, 0.3290)  10 Fe 2.43-2.69
Fe (0.1896, 0.8606, 0.9215)  10 Fe 2.43-2.69
Fe (0.2681, 0.1896, 0.8290)  10 Fe 2.43-2.69
Fe (0.2681, 0.4391, 0.0785)  10 Fe 2.43-2.69
Fe (0.4391, 0.2681, 0.5785)  10 Fe 2.43-2.69
Fe (0.4391, 0.8606, 0.1710)  10 Fe 2.43-2.69
Fe (0.5000, 0.0000, 0.5000)  10 Fe 2.43-2.64
Fe (0.5609, 0.1394, 0.8290)  10 Fe 2.43-2.69
Fe (0.5609, 0.7319, 0.4215)  10 Fe 2.43-2.69
Fe (0.7319, 0.5609, 0.9215)  10 Fe 2.43-2.69
Fe (0.7319, 0.8104, 0.1710)  10 Fe 2.43-2.69
Fe (0.8104, 0.1394, 0.0785)  10 Fe 2.43-2.69
Fe (0.8104, 0.7319, 0.6710)  10 Fe 2.43-2.69
Fe (0.8606, 0.1896, 0.4215)  10 Fe 2.43-2.69
Fe (0.8606, 0.4391, 0.6710)  10 Fe 2.43-2.69
Fe (0.8750, 0.1250, 0.7500)  12 Fe 2.64-2.69

Material: ThFe5
Method: DFT, PBE
State: relaxed

Volume in Å³ per cell: 90
Energy of formation from the pure elements in eV per atom: -0.06
Final energy in eV per atom: -8.346
Space group: P6/mmm (191)
Total moment in Bohr magnetons per cell: 10.32
Crystal system: hexagonal

abc: 5.0618 5.0618 4.0415
angles: 90.00 90.00 120.00
With the nearest neighbours (Å) after each atom.
Atoms (fractional coordinates):
Th (0.0000, 0.0000, 0.0000)  18 Fe 2.92-3.24
Fe (0.0000, 0.5000, 0.5000)  8 Fe 2.49-2.53
Fe (0.3333, 0.6667, 0.0000)  6 Fe 2.49
Fe (0.5000, 0.0000, 0.5000)  8 Fe 2.49-2.53
Fe (0.5000, 0.5000, 0.5000)  8 Fe 2.49-2.53
Fe (0.6667, 0.3333, 0.0000)  6 Fe 2.49